(1)
CaBe5Cu7 | GGA-PBE | relaxed

Results
**Crystal system**: orthorhombic
**Space group**: Imm2, No. 44

Cell and atoms, written as POSCAR:
```
CaBe5Cu7
1.0
-1.635 0.836 -4.167
-3.800 -4.503 -1.900
-5.311 3.173 0.232
Ca Be Cu
1 5 7
direct
0.998 0.002 0.002 Ca
0.501 0.995 0.503 Be
0.001 0.995 0.503 Be
0.501 0.503 0.995 Be
0.001 0.503 0.995 Be
0.738 0.762 0.762 Be
0.646 0.354 0.354 Cu
0.345 0.655 0.655 Cu
0.995 0.356 0.654 Cu
0.995 0.654 0.356 Cu
0.271 0.229 0.229 Cu
0.505 0.779 0.212 Cu
0.505 0.212 0.779 Cu
```

(2)
TmThPa2Rh4 | GGA-PBE | relaxed

Results
**Crystal system**: orthorhombic
**Space group**: Fmm2, No. 42

Cell and atoms, written as POSCAR:
```
TmThPa2Rh4
1.0
-0.889 2.242 5.123
1.994 -4.443 2.888
4.532 3.323 -4.096
Tm Th Pa Rh
1 1 2 4
direct
0.503 0.503 0.000 Tm
0.928 0.928 0.000 Th
0.164 0.664 0.500 Pa
0.664 0.164 0.500 Pa
0.013 0.411 0.000 Rh
0.411 0.013 0.000 Rh
0.170 0.170 0.524 Rh
0.646 0.646 0.476 Rh
```

(3)
ScH2Pt | GGA-PBE | relaxed

Results
**Crystal system**: monoclinic
**Space group**: P2_1/c, No. 14
**Energy above the lowest structure with this stoichiometry**: 0 kJ/mol of formula units

Cell and atoms, written as POSCAR:
```
ScH2Pt
1.0
-2.628 -2.563 4.327
-2.647 -3.454 -3.654
5.041 -2.254 1.727
Sc H Pt
4 8 4
direct
0.162 0.293 0.066 Sc
0.338 0.793 0.566 Sc
0.838 0.707 0.934 Sc
0.662 0.207 0.434 Sc
0.414 0.218 0.740 H
0.140 0.900 0.891 H
0.914 0.282 0.760 H
0.586 0.782 0.260 H
0.860 0.100 0.109 H
0.640 0.600 0.609 H
0.360 0.400 0.391 H
0.086 0.718 0.240 H
0.646 0.164 0.914 Pt
0.146 0.336 0.586 Pt
0.354 0.836 0.086 Pt
0.854 0.664 0.414 Pt
```

(4)
KHf2Al2 | GGA-PBE | relaxed

Results
**Crystal system**: tetragonal
**Space group**: P4/mbm, No. 127
**Energy above the lowest structure with this stoichiometry**: 0 kJ/mol of formula units

Cell and atoms, written as POSCAR:
```
KHf2Al2
1.0
8.951 0.000 0.000
0.000 8.951 0.000
0.000 0.000 2.930
K Hf Al
2 4 4
direct
0.000 0.000 0.000 K
0.500 0.500 0.000 K
0.126 0.626 0.500 Hf
0.626 0.874 0.500 Hf
0.874 0.374 0.500 Hf
0.374 0.126 0.500 Hf
0.336 0.836 0.000 Al
0.836 0.664 0.000 Al
0.664 0.164 0.000 Al
0.164 0.336 0.000 Al
```

(5)
Hf3PRu | GGA-PBE | relaxed

Results
**Crystal system**: cubic
**Space group**: Pm-3m, No. 221
**Energy above the lowest structure with this stoichiometry**: 153 kJ/mol of formula units

Cell and atoms, written as POSCAR:
```
Hf3PRu
1.0
-2.625 3.686 1.944
0.267 -2.144 4.426
4.159 2.464 0.943
Ru Hf P
1 3 1
direct
0.000 0.000 0.000 Ru
0.000 0.500 0.000 Hf
0.000 0.000 0.500 Hf
0.500 0.000 0.000 Hf
0.500 0.500 0.500 P
```

(6)
Te2SeBr | GGA-PBE | relaxed

Results
**Crystal system**: orthorhombic
**Space group**: Cmmm, No. 65
**Energy above the lowest structure with this stoichiometry**: 191 kJ/mol of formula units
**E_form (uncorrected)**: 434 meV per atom

Cell and atoms, written as POSCAR:
```
Te2SeBr
1.0
5.394 0.019 0.000
-1.015 5.298 0.000
0.000 0.000 3.571
Br Se Te
1 1 2
direct
0.500 0.000 0.500 Br
0.000 0.500 0.500 Se
0.000 0.000 0.000 Te
0.500 0.500 0.000 Te
```

(7)
ErCd23Hg6 | GGA-PBE | relaxed

Results
**Crystal system**: cubic
**Space group**: Fm-3m, No. 225

Cell and atoms, written as POSCAR:
```
ErCd23Hg6
1.0
0.066 7.663 6.490
8.585 2.765 4.417
4.376 8.680 -2.523
Er Cd Hg
1 23 6
direct
0.500 0.500 0.500 Er
0.633 0.122 0.122 Cd
0.367 0.878 0.878 Cd
0.122 0.122 0.633 Cd
0.122 0.122 0.122 Cd
0.878 0.878 0.367 Cd
0.878 0.878 0.878 Cd
0.122 0.633 0.122 Cd
0.878 0.367 0.878 Cd
0.500 0.500 0.000 Cd
0.000 0.000 0.500 Cd
0.500 0.000 0.000 Cd
0.000 0.500 0.500 Cd
0.500 0.000 0.500 Cd
0.000 0.500 0.000 Cd
0.956 0.348 0.348 Cd
0.044 0.652 0.652 Cd
0.348 0.348 0.956 Cd
0.348 0.348 0.348 Cd
0.652 0.652 0.044 Cd
0.652 0.652 0.652 Cd
0.348 0.956 0.348 Cd
0.652 0.044 0.652 Cd
0.000 0.000 0.000 Cd
0.719 0.719 0.281 Hg
0.281 0.281 0.719 Hg
0.719 0.281 0.281 Hg
0.281 0.719 0.719 Hg
0.719 0.281 0.719 Hg
0.281 0.719 0.281 Hg
```

(8)
CaEuGe | GGA-PBE | relaxed

Results
**Crystal system**: trigonal
**Space group**: P3m1, No. 156

Cell and atoms, written as POSCAR:
```
CaEuGe
1.0
-0.095 3.872 1.765
-2.853 1.628 -3.725
-2.093 -1.910 4.079
Eu Ge Ca
1 1 1
direct
0.057 0.000 0.000 Eu
0.364 0.667 0.333 Ge
0.578 0.333 0.667 Ca
```

(9)
Tb2Pm2Y2Ho | GGA-PBE | relaxed

Results
**Crystal system**: trigonal
**Space group**: R-3m, No. 166

Cell and atoms, written as POSCAR:
```
Tb2Pm2Y2Ho
1.0
-0.436 -5.436 1.700
1.265 -1.418 5.387
-7.494 -0.983 4.529
Tb Pm Y Ho
2 2 2 1
direct
0.716 0.716 0.853 Tb
0.284 0.284 0.147 Tb
0.139 0.139 0.582 Pm
0.861 0.861 0.418 Pm
0.573 0.573 0.280 Y
0.427 0.427 0.720 Y
0.000 0.000 0.000 Ho
```

(10)
Ac4CoHg2 | GGA-PBE | relaxed

Results
**Crystal system**: tetragonal
**Space group**: I4/mmm, No. 139
**Energy above the lowest structure with this stoichiometry**: 42 kJ/mol of formula units

Cell and atoms, written as POSCAR:
```
Ac4CoHg2
1.0
-3.079 4.175 -1.733
-4.165 -3.435 -0.874
-6.290 1.628 6.467
Ac Co Hg
4 1 2
direct
0.822 0.822 0.355 Ac
0.178 0.178 0.645 Ac
0.000 0.500 0.000 Ac
0.500 0.000 0.000 Ac
0.000 0.000 0.000 Co
0.629 0.629 0.743 Hg
0.371 0.371 0.257 Hg
```

(11)
PrY2Rh | GGA-PBE | relaxed

Results
**Crystal system**: trigonal
**Space group**: R3m, No. 160
**Energy above the lowest structure with this stoichiometry**: 53 kJ/mol of formula units

Cell and atoms, written as POSCAR:
```
PrY2Rh
1.0
-2.448 -2.314 -1.982
0.998 -3.700 -0.766
-4.351 -4.686 6.993
Pr Y Rh
1 2 1
direct
0.501 0.501 0.496 Pr
0.057 0.057 0.829 Y
0.275 0.275 0.174 Y
0.666 0.666 0.002 Rh
```

(12)
TlRh2Br | GGA-PBE | relaxed

Results
**Crystal system**: orthorhombic
**Space group**: Cmmm, No. 65
**Energy above the lowest structure with this stoichiometry**: 90 kJ/mol of formula units
**E_form (uncorrected)**: 471 meV per atom

Cell and atoms, written as POSCAR:
```
TlRh2Br
1.0
-2.726 -1.686 -0.309
2.222 -0.943 2.131
-3.669 4.838 5.965
Tl Rh Br
1 2 1
direct
0.500 0.500 0.250 Tl
0.000 0.000 0.994 Rh
0.000 0.000 0.506 Rh
0.500 0.500 0.750 Br
```

(13)
Er4Al3Ni | GGA-PBE | relaxed

Results
**Crystal system**: tetragonal
**Space group**: P4/mmm, No. 123
**Energy above the lowest structure with this stoichiometry**: 0 kJ/mol of formula units

Cell and atoms, written as POSCAR:
```
Er4Al3Ni
1.0
-0.167 -2.499 -2.393
0.443 -2.392 2.467
-14.354 -0.783 1.818
Ni Al Er
1 3 4
direct
0.500 0.500 0.000 Ni
0.500 0.500 0.241 Al
0.500 0.500 0.500 Al
0.500 0.500 0.759 Al
0.000 0.000 0.890 Er
0.000 0.000 0.110 Er
0.000 0.000 0.369 Er
0.000 0.000 0.631 Er
```

(14)
As2PtO | GGA-PBE | relaxed

Results
**Crystal system**: tetragonal
**Space group**: I-42d, No. 122
**E_form (uncorrected)**: -193 meV per atom

Cell and atoms, written as POSCAR:
```
As2PtO
1.0
5.274 0.000 0.000
0.000 5.274 0.000
2.637 2.637 5.443
As O Pt
4 2 2
direct
0.586 0.125 0.250 As
0.164 0.625 0.250 As
0.375 0.414 0.750 As
0.875 0.836 0.750 As
0.500 0.500 0.000 O
0.250 0.750 0.500 O
0.000 0.000 0.000 Pt
0.750 0.250 0.500 Pt
```

(15)
Ru2PbF | GGA-PBE | relaxed

Results
**Crystal system**: tetragonal
**Space group**: I-42d, No. 122
**Energy above the lowest structure with this stoichiometry**: 0 kJ/mol of formula units
**E_form (uncorrected)**: 104 meV per atom

Cell and atoms, written as POSCAR:
```
Ru2PbF
1.0
-3.481 0.517 0.310
-0.261 -2.931 1.954
-0.080 5.066 10.782
Pb Ru F
2 4 2
direct
0.000 0.000 0.000 Pb
0.750 0.250 0.500 Pb
0.628 0.125 0.250 Ru
0.122 0.625 0.250 Ru
0.375 0.372 0.750 Ru
0.875 0.878 0.750 Ru
0.500 0.500 0.000 F
0.250 0.750 0.500 F
```

(16)
BaTaPb | GGA-PBE | relaxed

Results
**Crystal system**: tetragonal
**Space group**: I4mm, No. 107
**Energy above the lowest structure with this stoichiometry**: 7 kJ/mol of formula units

Cell and atoms, written as POSCAR:
```
BaTaPb
1.0
8.399 -0.015 0.000
7.147 4.412 0.000
-7.773 -2.198 2.300
Pb Ba Ta
1 1 1
direct
0.315 0.315 0.000 Pb
0.006 0.006 0.000 Ba
0.679 0.679 0.000 Ta
```

(17)
Ag2HgI2 | GGA-PBE | relaxed

Results
**Crystal system**: tetragonal
**Space group**: I4/mmm, No. 139
**Energy above the lowest structure with this stoichiometry**: 42 kJ/mol of formula units
**E_form (uncorrected)**: -95 meV per atom

Cell and atoms, written as POSCAR:
```
Ag2HgI2
1.0
-5.778 0.833 -0.357
-0.697 -5.558 -1.682
-3.905 -4.230 5.427
I Hg Ag
2 1 2
direct
0.750 0.250 0.500 I
0.250 0.750 0.500 I
0.000 0.000 0.000 Hg
0.212 0.212 0.577 Ag
0.788 0.788 0.423 Ag
```

(18)
TaRh3S | GGA-PBE | relaxed

Results
**Crystal system**: cubic
**Space group**: Pm-3m, No. 221
**Energy above the lowest structure with this stoichiometry**: 407 kJ/mol of formula units
**E_form (uncorrected)**: 1197 meV per atom

Cell and atoms, written as POSCAR:
```
TaRh3S
1.0
4.735 0.000 0.000
0.000 4.735 0.000
0.000 0.000 4.735
S Rh Ta
1 3 1
direct
0.500 0.500 0.500 S
0.000 0.500 0.000 Rh
0.000 0.000 0.500 Rh
0.500 0.000 0.000 Rh
0.000 0.000 0.000 Ta
```

(19)
Dy3GeIr | GGA-PBE | relaxed

Results
**Crystal system**: monoclinic
**Space group**: C2/m, No. 12

Cell and atoms, written as POSCAR:
```
Dy3GeIr
1.0
-1.781 2.794 -2.788
-3.506 0.887 6.493
5.802 5.498 1.803
Dy Ge Ir
6 2 2
direct
0.240 0.479 0.689 Dy
0.614 0.228 0.941 Dy
0.049 0.099 0.308 Dy
0.760 0.521 0.311 Dy
0.951 0.901 0.692 Dy
0.386 0.772 0.059 Dy
0.409 0.817 0.435 Ge
0.591 0.183 0.565 Ge
0.197 0.395 0.102 Ir
0.803 0.605 0.898 Ir
```

(20)
BaMoCl2 | GGA-PBE | relaxed

Results
**Crystal system**: orthorhombic
**Space group**: Immm, No. 71
**Energy above the lowest structure with this stoichiometry**: 21 kJ/mol of formula units
**E_form (uncorrected)**: -481 meV per atom

Cell and atoms, written as POSCAR:
```
BaMoCl2
1.0
-3.484 0.281 -4.604
-0.771 -5.449 -1.768
-0.950 3.423 4.560
Mo Ba Cl
1 1 2
direct
0.750 0.250 0.500 Mo
0.250 0.750 0.500 Ba
0.928 0.928 0.000 Cl
0.572 0.572 0.000 Cl
```

(21)
TiP2O7 | GGA-PBE | relaxed

Results
**Crystal system**: monoclinic
**Space group**: P2_1, No. 4
**Energy above the lowest structure with this stoichiometry**: 0 kJ/mol of formula units
**E_form (uncorrected)**: -2466 meV per atom

Cell and atoms, written as POSCAR:
```
TiP2O7
1.0
8.156 0.000 0.000
0.000 4.918 -0.032
0.000 1.871 6.768
Ti P O
2 4 14
direct
0.549 0.788 0.730 Ti
0.049 0.212 0.270 Ti
0.864 0.615 0.504 P
0.288 0.749 0.113 P
0.788 0.251 0.887 P
0.364 0.385 0.496 P
0.727 0.995 0.825 O
0.396 0.835 0.929 O
0.985 0.860 0.456 O
0.689 0.716 0.521 O
0.377 0.571 0.639 O
0.647 0.449 0.906 O
0.913 0.425 0.721 O
0.413 0.575 0.279 O
0.147 0.551 0.094 O
0.877 0.429 0.361 O
0.189 0.284 0.479 O
0.485 0.140 0.544 O
0.896 0.165 0.071 O
0.227 0.005 0.175 O
```

(22)
CuGeRu | GGA-PBE | relaxed

Results
**Crystal system**: tetragonal
**Space group**: P4/nmm, No. 129
**Energy above the lowest structure with this stoichiometry**: 6 kJ/mol of formula units

Cell and atoms, written as POSCAR:
```
CuGeRu
1.0
3.897 0.000 0.000
0.000 3.897 0.000
0.000 0.000 5.993
Ru Ge Cu
2 2 2
direct
0.000 0.000 0.500 Ru
0.500 0.500 0.500 Ru
0.000 0.500 0.223 Ge
0.500 0.000 0.777 Ge
0.000 0.500 0.819 Cu
0.500 0.000 0.181 Cu
```

(23)
PtRh2Pb | GGA-PBE | relaxed

Results
**Crystal system**: monoclinic
**Space group**: P2/m, No. 10
**Energy above the lowest structure with this stoichiometry**: 83 kJ/mol of formula units

Cell and atoms, written as POSCAR:
```
PtRh2Pb
1.0
-0.924 -4.379 -1.354
0.547 -0.972 2.770
-4.740 0.590 1.323
Pt Rh Pb
1 2 1
direct
0.500 0.000 0.500 Pt
0.000 0.231 0.735 Rh
0.000 0.769 0.265 Rh
0.500 0.500 0.000 Pb
```

(24)
Li2SnCl2 | GGA-PBE | relaxed

Results
**Crystal system**: tetragonal
**Space group**: I4/mmm, No. 139
**Energy above the lowest structure with this stoichiometry**: 0 kJ/mol of formula units
**E_form (uncorrected)**: -1043 meV per atom

Cell and atoms, written as POSCAR:
```
Li2SnCl2
1.0
3.717 0.000 0.000
0.000 3.717 0.000
1.859 1.859 11.228
Li Sn Cl
2 1 2
direct
0.750 0.250 0.500 Li
0.250 0.750 0.500 Li
0.000 0.000 0.000 Sn
0.310 0.310 0.381 Cl
0.690 0.690 0.619 Cl
```

Number 1: raw total energy -3.86 eV per atom. Number 2: raw total energy -8.32 eV per atom. Number 3: raw total energy -5.36 eV per atom. Number 4: raw total energy -5.56 eV per atom. Number 5: raw total energy -8.54 eV per atom. Number 6: raw total energy -2.43 eV per atom. Number 7: raw total energy -0.89 eV per atom. Number 8: raw total energy -6.00 eV per atom. Number 9: raw total energy -5.04 eV per atom. Number 10: raw total energy -3.66 eV per atom. Number 11: raw total energy -6.60 eV per atom. Number 12: raw total energy -4.21 eV per atom. Number 13: raw total energy -4.82 eV per atom. Number 14: raw total energy -5.27 eV per atom. Number 15: raw total energy -5.93 eV per atom. Number 16: raw total energy -5.19 eV per atom. Number 17: raw total energy -1.92 eV per atom. Number 18: raw total energy -6.41 eV per atom. Number 19: raw total energy -6.16 eV per atom. Number 20: raw total energy -4.59 eV per atom. Number 21: raw total energy -7.81 eV per atom. Number 22: raw total energy -5.96 eV per atom. Number 23: raw total energy -5.91 eV per atom. Number 24: raw total energy -3.35 eV per atom.